Tl2Cr2ReO6, relaxed, DFT GGA+U; crystal system = monoclinic; E_tot = -6.976 eV/atom
1.0
5.381 -0.003 0.054
-2.662 4.676 0.054
-0.968 -1.663 6.538
Re Cr O Tl
1 2 6 2
Direct
0.000 0.000 0.500 Re
0.666 0.334 0.500 Cr
0.334 0.666 0.500 Cr
0.281 0.281 0.348 O
0.382 0.049 0.652 O
0.719 0.719 0.652 O
0.618 0.951 0.348 O
0.049 0.382 0.652 O
0.951 0.618 0.348 O
0.832 0.168 0.000 Tl
0.168 0.832 0.000 Tl